Record 1
# Ba4NaIn2Au

Crystalline Ba4NaIn2Au at its relaxed geometry (PBE-GGA, Alexandria).

Cell and atoms, written as POSCAR:
```
Ba4NaIn2Au
1.0
-1.9056 -4.7121 -3.2555
-3.0046 -4.4995 2.6758
-10.1719 1.5891 -1.9417
In Ba Au Na
2 4 1 1
Direct
0.7415 0.7415 0.7756 In
0.2585 0.2585 0.2244 In
0.1327 0.1327 0.6020 Ba
0.8673 0.8673 0.3980 Ba
0.6148 0.6148 0.1555 Ba
0.3852 0.3852 0.8445 Ba
0.5000 0.5000 0.5000 Au
0.0000 0.0000 0.0000 Na
```

Density of states at the Fermi level, states/eV/f.u.: 8.5
Formation enthalpy at 0 K, eV per atom: -0.378
Total magnetic moment, μB/f.u.: 0.0
V, Å³ per cell: 311.7
Symmetry: No. 166
Calculated total energy, eV per formula unit: -20.8

---

Record 2
# Dy2YHo4Tm2

Crystalline Dy2YHo4Tm2 at its relaxed geometry (PBE-GGA, Alexandria).

Cell and atoms, written as POSCAR:
```
Dy2YHo4Tm2
1.0
-1.8886 -1.5673 -2.5813
8.3957 -4.0982 -1.1970
-5.5544 -4.0059 6.4963
Y Ho Dy Tm
1 4 2 2
Direct
0.0000 0.0000 0.0000 Y
0.5188 0.0376 0.3348 Ho
0.4812 0.9624 0.6652 Ho
0.8146 0.6292 0.6661 Ho
0.1854 0.3708 0.3339 Ho
0.8518 0.7036 0.3327 Dy
0.1482 0.2964 0.6673 Dy
0.3326 0.6653 0.9995 Tm
0.6674 0.3347 0.0005 Tm
```

Density of states at the Fermi level, states/eV/f.u.: 12.6
Formation enthalpy at 0 K, eV per atom: 0.004
Total magnetic moment, μB/f.u.: 0.0
V, Å³ per cell: 280.0
Symmetry: No. 12
Calculated total energy, eV per formula unit: -42.9

---

Record 3
# HfAl2CoGe

Crystalline HfAl2CoGe at its relaxed geometry (PBE-GGA, Alexandria).

Cell and atoms, written as POSCAR:
```
HfAl2CoGe
1.0
4.4035 0.0000 0.0000
0.0000 4.8076 0.0000
0.0000 0.0000 4.4035
Al Ge Co Hf
2 1 1 1
Direct
0.5000 0.0000 0.0000 Al
0.0000 0.0000 0.5000 Al
0.5000 0.5000 0.5000 Ge
0.0000 0.0000 0.0000 Co
0.0000 0.5000 0.0000 Hf
```

Density of states at the Fermi level, states/eV/f.u.: 4.4
Formation enthalpy at 0 K, eV per atom: -0.047
Total magnetic moment, μB/f.u.: 0.0
V, Å³ per cell: 93.2
Symmetry: No. 123
Calculated total energy, eV per formula unit: -29.4

---

Repeat the third record exactly.
# HfAl2CoGe

Crystalline HfAl2CoGe at its relaxed geometry (PBE-GGA, Alexandria).

Cell and atoms, written as POSCAR:
```
HfAl2CoGe
1.0
4.4035 0.0000 0.0000
0.0000 4.8076 0.0000
0.0000 0.0000 4.4035
Al Ge Co Hf
2 1 1 1
Direct
0.5000 0.0000 0.0000 Al
0.0000 0.0000 0.5000 Al
0.5000 0.5000 0.5000 Ge
0.0000 0.0000 0.0000 Co
0.0000 0.5000 0.0000 Hf
```

Density of states at the Fermi level, states/eV/f.u.: 4.4
Formation enthalpy at 0 K, eV per atom: -0.047
Total magnetic moment, μB/f.u.: 0.0
V, Å³ per cell: 93.2
Symmetry: No. 123
Calculated total energy, eV per formula unit: -29.4

---

- Which of these has the highest density of states at the Fermi level?
  Dy2YHo4Tm2

---

- Among the records above, which one has the lowest formation enthalpy at 0 K?
  Ba4NaIn2Au